Record 1
# CaCoSe2

Crystalline CaCoSe2 at its relaxed geometry (PBEsol, the Alexandria database).

Cell lengths 6.622, 6.622, 6.622 Å; angles 32.89, 32.89, 32.89 degrees
Positions (direct):
Ca1 0.000 0.000 0.000
Co1 0.171 0.171 0.171
Se1 0.564 0.564 0.564
Se2 0.772 0.772 0.772

Results
The space-group type is No. 160. The formation energy (no corrections) is -833 meV per atom. Its total moment is 1.00 μB per cell. As for the density of states at the Fermi level: 0.541 states/eV per atom.



Record 2
# CaCo2Se

Crystalline CaCo2Se at its relaxed geometry (PBEsol, the Alexandria database).

Cell lengths 4.463, 4.463, 4.463 Å; angles 60.00, 60.00, 60.00 degrees
Positions (direct):
Ca1 0.000 0.000 0.000
Co1 0.250 0.250 0.250
Co2 0.500 0.500 0.500
Se1 0.750 0.750 0.750

Results
The space-group type is No. 216. The formation energy (no corrections) is 236 meV per atom. Its total moment is 3.00 μB per cell. As for the density of states at the Fermi level: 1.675 states/eV per atom.



Record 3
# CaCo2Se

Crystalline CaCo2Se at its relaxed geometry (PBEsol, the Alexandria database).

Cell lengths 3.212, 3.212, 6.381 Å; angles 90.00, 90.00, 90.00 degrees
Positions (direct):
Ca1 0.000 0.000 0.000
Co1 0.000 0.000 0.527
Co2 0.500 0.500 0.677
Se1 0.500 0.500 0.308

Results
The space-group type is No. 99. The formation energy (no corrections) is -12 meV per atom. Its total moment is 3.37 μB per cell. As for the density of states at the Fermi level: 1.313 states/eV per atom.



> Number 1 is which compound?

CaCoSe2



> Among the records above, which one has the lowest total moment?

CaCoSe2



> Which of these has the lowest formation energy (no corrections)?

CaCoSe2



> What is the total moment in the second record?

3.00 μB per cell